Density functional theory data (PBE) for crystalline Zr4Ta2Ni3C3 at its relaxed geometry.

Cell: 5.629 5.644 13.293 Å, 78.22 77.78 60.08°
Fractional positions:
Zr  0.957  0.632  0.610
Zr  0.043  0.368  0.390
Zr  0.296  0.971  0.609
Zr  0.877  0.529  0.891
Zr  0.123  0.471  0.109
Zr  0.704  0.029  0.391
Zr  0.802  0.132  0.110
Zr  0.198  0.868  0.890
C  0.500  0.500  0.000
C  0.338  0.338  0.500
C  0.175  0.162  0.000
C  0.000  0.000  0.500
C  0.662  0.662  0.500
C  0.825  0.838  0.000
Ni  0.150  0.750  0.250
Ni  0.588  0.981  0.749
Ni  0.412  0.019  0.251
Ni  0.850  0.250  0.750
Ni  0.681  0.481  0.249
Ni  0.319  0.519  0.751
Ta  0.645  0.299  0.587
Ta  0.470  0.799  0.087
Ta  0.355  0.701  0.413
Ta  0.530  0.201  0.913

## Properties
total DFT energy (no corrections): -215.833 eV/cell
calculated density: 8.776 g cm⁻³
total magnetization: 0.00 μB/f.u.

=====

Density functional theory data (PBE) for crystalline Hf2TcAg at its relaxed geometry.

Cell: 4.680 4.680 4.680 Å, 60.00 60.00 60.00°
Fractional positions:
Hf  0.250  0.250  0.250
Hf  0.000  0.000  0.000
Ag  0.500  0.500  0.500
Tc  0.750  0.750  0.750

## Properties
total DFT energy (no corrections): -32.405 eV/cell
energy of formation from the pure elements: 0.173 eV/atom
calculated density: 12.899 g cm⁻³
total magnetization: 0.02 μB/f.u.

=====

Density functional theory data (PBE) for crystalline Ba2GdC2O6F3 at its relaxed geometry.

Cell: 9.439 6.885 11.789 Å, 90.00 90.00 90.00°
Fractional positions:
Gd  0.000  0.727  0.750
Gd  0.500  0.227  0.750
Gd  0.000  0.273  0.250
Gd  0.500  0.773  0.250
Ba  0.379  0.760  0.571
Ba  0.121  0.260  0.571
Ba  0.879  0.260  0.929
Ba  0.379  0.240  0.071
Ba  0.621  0.760  0.929
Ba  0.621  0.240  0.429
Ba  0.121  0.740  0.071
Ba  0.879  0.740  0.429
F  0.500  0.106  0.250
F  0.403  0.849  0.075
F  0.403  0.151  0.575
F  0.903  0.349  0.425
F  0.903  0.651  0.925
F  0.597  0.151  0.925
F  0.000  0.394  0.750
F  0.097  0.651  0.575
F  0.097  0.349  0.075
F  0.597  0.849  0.425
F  0.000  0.606  0.250
F  0.500  0.894  0.750
O  0.913  0.018  0.113
O  0.689  0.458  0.782
O  0.811  0.958  0.782
O  0.799  0.620  0.641
O  0.587  0.518  0.113
O  0.201  0.620  0.859
O  0.811  0.042  0.282
O  0.311  0.542  0.218
O  0.299  0.880  0.359
O  0.689  0.542  0.282
O  0.201  0.380  0.359
O  0.189  0.958  0.718
O  0.189  0.042  0.218
O  0.701  0.120  0.641
O  0.087  0.982  0.887
O  0.913  0.982  0.613
O  0.413  0.518  0.387
O  0.587  0.482  0.613
O  0.799  0.380  0.141
O  0.299  0.120  0.859
O  0.087  0.018  0.387
O  0.413  0.482  0.887
O  0.701  0.880  0.141
O  0.311  0.458  0.718
C  0.194  0.022  0.822
C  0.306  0.522  0.822
C  0.694  0.478  0.178
C  0.194  0.978  0.322
C  0.806  0.978  0.178
C  0.306  0.478  0.322
C  0.806  0.022  0.678
C  0.694  0.522  0.678

## Properties
total DFT energy (no corrections): -406.171 eV/cell
calculated density: 5.279 g cm⁻³
total magnetization: 0.00 μB/f.u.

=====

Density functional theory data (PBE) for crystalline Rb2TbAg2Te4 at its relaxed geometry.

Cell: 7.893 7.893 6.711 Å, 90.00 90.00 129.74°
Fractional positions:
Te  0.629  0.855  0.741
Te  0.371  0.145  0.741
Te  0.855  0.629  0.259
Te  0.145  0.371  0.259
Rb  0.500  0.000  0.258
Rb  0.000  0.500  0.742
Tb  0.000  0.000  0.000
Ag  0.500  0.500  0.000
Ag  0.000  0.000  0.500

## Properties
total DFT energy (no corrections): -31.759 eV/cell
calculated density: 5.454 g cm⁻³
total magnetization: 0.01 μB/f.u.

=====

Density functional theory data (PBE) for crystalline TbTmGe4Pd2 at its relaxed geometry.

Cell: 4.331 9.356 9.356 Å, 24.33 90.00 90.00°
Fractional positions:
Ge  0.000  0.256  0.256
Ge  0.500  0.744  0.744
Ge  0.000  0.534  0.534
Ge  0.500  0.467  0.467
Tm  0.500  0.101  0.101
Tb  0.000  0.898  0.898
Pd  0.000  0.666  0.666
Pd  0.500  0.334  0.334

## Properties
total DFT energy (no corrections): -43.565 eV/cell
calculated density: 8.837 g cm⁻³
total magnetization: 0.01 μB/f.u.

=====

Density functional theory data (PBE) for crystalline La2NiGe2Pd at its relaxed geometry.

Cell: 4.286 4.286 8.454 Å, 90.00 90.00 120.00°
Site moments in Bohr magnetons follow the coordinates.
Fractional positions:
Pd  0.000  0.000  0.500  0.03
Ge  0.000  0.000  0.000  0.03
Ge  0.333  0.667  0.500  0.02
La  0.667  0.333  0.756  0.02
La  0.667  0.333  0.244  0.02
Ni  0.333  0.667  0.000  0.11

## Properties
total DFT energy (no corrections): -34.754 eV/cell
calculated density: 7.264 g cm⁻³
total magnetization: 0.35 μB/f.u.

=====

Density functional theory data (PBE) for crystalline Cu5Ag4 at its relaxed geometry.

Cell: 2.767 2.767 19.801 Å, 90.00 90.00 120.00°
Fractional positions:
Cu  0.333  0.667  0.050
Cu  0.000  0.000  0.852
Cu  0.667  0.333  0.950
Cu  0.000  0.000  0.148
Cu  0.000  0.000  0.500
Ag  0.333  0.667  0.388
Ag  0.667  0.333  0.261
Ag  0.667  0.333  0.612
Ag  0.333  0.667  0.739

## Properties
total DFT energy (no corrections): -28.969 eV/cell
energy of formation from the pure elements: 0.101 eV/atom
calculated density: 9.476 g cm⁻³

=====

Density functional theory data (PBE) for crystalline PrGdZn2As2O2 at its relaxed geometry.

Cell: 4.020 4.020 8.983 Å, 90.00 90.00 90.00°
Fractional positions:
Pr  0.000  0.000  0.133
As  0.500  0.500  0.322
As  0.000  0.000  0.678
Zn  0.500  0.000  0.501
Zn  0.000  0.500  0.501
Gd  0.500  0.500  0.875
O  0.500  0.000  0.994
O  0.000  0.500  0.994

## Properties
total DFT energy (no corrections): -45.580 eV/cell
calculated density: 6.986 g cm⁻³
total magnetization: 0.00 μB/f.u.